Below is a geometry-optimized KMg14Nb structure, with properties calculated at the GGA-PBE level.

Cell: 6.684 6.684 8.407 Å, 90.00 90.00 90.00°
Element x y z (fractional)
K  0.000  0.000  0.000
Mg  0.000  0.000  0.500
Mg  0.000  0.500  0.000
Mg  0.000  0.500  0.500
Mg  0.269  0.269  0.253
Mg  0.269  0.269  0.747
Mg  0.269  0.731  0.253
Mg  0.269  0.731  0.747
Mg  0.500  0.000  0.000
Mg  0.500  0.000  0.500
Mg  0.500  0.500  0.500
Mg  0.731  0.269  0.253
Mg  0.731  0.269  0.747
Mg  0.731  0.731  0.253
Mg  0.731  0.731  0.747
Nb  0.500  0.500  0.000

Values from the calculation:
- Space-group type: P4/mmm
- E_form: 0.139 eV/atom
- ρ: 2.088 g/cm3
- D(E_F): 9.25 states/eV per cell